Computed, not measured: a geometry-optimized Hf3S5O structure at the GGA-PBE level of DFT.

Properties
Raw formation energy: -1711.8 meV/atom
Total magnetization: 0.00 μB/atom
Total energy: -7.874 eV per atom

```
data_Hf3S5O
_symmetry_space_group_name_H-M 'C 1 2/m 1'
_symmetry_Int_Tables_number 12
_cell_length_a 10.783
_cell_length_b 8.611
_cell_length_c 8.309
_cell_angle_alpha 90.00
_cell_angle_beta 110.26
_cell_angle_gamma 90.00
loop_
_symmetry_equiv_pos_as_xyz
'x,y,z'
'-x,-y,-z'
'-x,y,-z'
'x,-y,z'
'x+1/2,y+1/2,z'
'-x+1/2,-y+1/2,-z'
'-x+1/2,y+1/2,-z'
'x+1/2,-y+1/2,z'
loop_
_atom_site_label
_atom_site_fract_x
_atom_site_fract_y
_atom_site_fract_z
Hf1 0.000 0.000 0.000
Hf2 0.000 0.000 0.500
Hf3 0.156 0.500 0.168
Hf4 0.221 0.500 0.619
S1 0.000 0.293 0.000
S2 0.023 0.500 0.348
S3 0.183 0.192 0.636
S4 0.241 0.000 0.065
O1 0.071 0.000 0.284
```